# 1
## Hg2GeAu4 (PBE-GGA)

Data for a geometry-optimized Hg2GeAu4 structure.

Summary:
- crystal system = orthorhombic
- DFT formation energy (eV per atom) = 0.060
- total DFT energy (no corrections) (eV/f.u.) = -17.91
- total magnetization (μB/f.u.) = 0.00

The structure in CIF format:
```
data_Hg2GeAu4
_chemical_formula_sum 'Hg4 Ge2 Au8'
_cell_length_a 5.6705
_cell_length_b 7.2897
_cell_length_c 7.2894
_cell_angle_alpha 104.03
_cell_angle_beta 90.00
_cell_angle_gamma 90.00
_space_group_name_H-M_alt 'P 1'
_space_group_IT_number 1
loop_
_space_group_symop_operation_xyz
'x,y,z'
loop_
_atom_site_label
_atom_site_type_symbol
_atom_site_fract_x
_atom_site_fract_y
_atom_site_fract_z
Ge1 Ge 0.2500 0.6382 0.6382
Ge2 Ge 0.7500 0.3618 0.3618
Au1 Au 0.5000 0.3343 0.6657
Au2 Au 0.2500 0.7711 0.0131
Au3 Au 0.7500 0.2289 0.9869
Au4 Au 0.0000 0.3343 0.6657
Au5 Au 0.7500 0.9869 0.2289
Au6 Au 0.0000 0.6657 0.3343
Au7 Au 0.5000 0.6657 0.3343
Au8 Au 0.2500 0.0131 0.7711
Hg1 Hg 0.2500 0.3567 0.0633
Hg2 Hg 0.7500 0.6433 0.9367
Hg3 Hg 0.7500 0.9367 0.6433
Hg4 Hg 0.2500 0.0633 0.3567
```

# 2
## Hg2GeAu2 (PBE-GGA)

Data for a geometry-optimized Hg2GeAu2 structure.

Summary:
- crystal system = orthorhombic
- DFT formation energy (eV per atom) = 0.059
- offset from the most stable computed form (eV/atom) = 0.000
- total DFT energy (no corrections) (eV/f.u.) = -11.48
- total magnetization (μB/f.u.) = 0.00

The structure in CIF format:
```
data_Hg2GeAu2
_chemical_formula_sum 'Hg4 Ge2 Au4'
_cell_length_a 3.2561
_cell_length_b 7.6004
_cell_length_c 9.0899
_cell_angle_alpha 90.00
_cell_angle_beta 90.00
_cell_angle_gamma 102.37
_space_group_name_H-M_alt 'P 1'
_space_group_IT_number 1
loop_
_space_group_symop_operation_xyz
'x,y,z'
loop_
_atom_site_label
_atom_site_type_symbol
_atom_site_fract_x
_atom_site_fract_y
_atom_site_fract_z
Hg1 Hg 0.8956 0.7911 0.1218
Hg2 Hg 0.4217 0.8433 0.7966
Hg3 Hg 0.1044 0.2089 0.6218
Hg4 Hg 0.5783 0.1567 0.2966
Ge1 Ge 0.6961 0.3922 0.9412
Ge2 Ge 0.3039 0.6078 0.4412
Au1 Au 0.2268 0.4536 0.1792
Au2 Au 0.0566 0.1131 0.9465
Au3 Au 0.7732 0.5464 0.6792
Au4 Au 0.9434 0.8869 0.4465
```

# 3
## HgGe3Au6 (PBE-GGA)

Data for a geometry-optimized HgGe3Au6 structure.

Summary:
- crystal system = orthorhombic
- DFT formation energy (eV per atom) = 0.056
- total DFT energy (no corrections) (eV/f.u.) = -33.26
- total magnetization (μB/f.u.) = 0.00

The structure in CIF format:
```
data_HgGe3Au6
_chemical_formula_sum 'Hg2 Ge6 Au12'
_cell_length_a 7.0863
_cell_length_b 7.9960
_cell_length_c 7.9960
_cell_angle_alpha 115.23
_cell_angle_beta 90.00
_cell_angle_gamma 90.00
_space_group_name_H-M_alt 'P 1'
_space_group_IT_number 1
loop_
_space_group_symop_operation_xyz
'x,y,z'
loop_
_atom_site_label
_atom_site_type_symbol
_atom_site_fract_x
_atom_site_fract_y
_atom_site_fract_z
Hg1 Hg 0.9722 0.2101 0.7899
Hg2 Hg 0.4722 0.7899 0.2101
Ge1 Ge 0.5094 0.8888 0.7211
Ge2 Ge 0.0094 0.7211 0.8888
Ge3 Ge 0.3486 0.4318 0.5682
Ge4 Ge 0.8486 0.5682 0.4318
Ge5 Ge 0.0094 0.1112 0.2789
Ge6 Ge 0.5094 0.2789 0.1112
Au1 Au 0.1717 0.7535 0.5898
Au2 Au 0.6717 0.5898 0.7535
Au3 Au 0.2637 0.4885 0.9091
Au4 Au 0.7637 0.9091 0.4885
Au5 Au 0.2023 0.0287 0.9713
Au6 Au 0.5728 0.2351 0.7649
Au7 Au 0.0728 0.7649 0.2351
Au8 Au 0.7023 0.9713 0.0287
Au9 Au 0.2637 0.0909 0.5115
Au10 Au 0.7637 0.5115 0.0909
Au11 Au 0.1717 0.4102 0.2465
Au12 Au 0.6717 0.2465 0.4102
```

# 4
## HgGeAu2 (PBE-GGA)

Data for a geometry-optimized HgGeAu2 structure.

Summary:
- crystal system = trigonal
- DFT formation energy (eV per atom) = 0.065
- offset from the most stable computed form (eV/atom) = 0.053
- total DFT energy (no corrections) (eV/f.u.) = -11.21
- total magnetization (μB/f.u.) = 0.00

The structure in CIF format:
```
data_HgGeAu2
_chemical_formula_sum 'Hg1 Ge1 Au2'
_cell_length_a 3.4908
_cell_length_b 3.4908
_cell_length_c 8.1684
_cell_angle_alpha 77.66
_cell_angle_beta 77.66
_cell_angle_gamma 60.00
_space_group_name_H-M_alt 'P 1'
_space_group_IT_number 1
loop_
_space_group_symop_operation_xyz
'x,y,z'
loop_
_atom_site_label
_atom_site_type_symbol
_atom_site_fract_x
_atom_site_fract_y
_atom_site_fract_z
Ge1 Ge 0.0000 0.0000 0.0000
Au1 Au 0.7424 0.7424 0.7728
Au2 Au 0.2576 0.2576 0.2272
Hg1 Hg 0.5000 0.5000 0.5000
```

# 5
## Hg3GeAu (PBE-GGA)

Data for a geometry-optimized Hg3GeAu structure.

Summary:
- crystal system = cubic
- DFT formation energy (eV per atom) = 0.390
- offset from the most stable computed form (eV/atom) = 0.000
- total DFT energy (no corrections) (eV/f.u.) = -6.85
- total magnetization (μB/f.u.) = 0.00

The structure in CIF format:
```
data_Hg3GeAu
_chemical_formula_sum 'Hg3 Ge1 Au1'
_cell_length_a 5.2797
_cell_length_b 5.2797
_cell_length_c 5.2797
_cell_angle_alpha 90.00
_cell_angle_beta 90.00
_cell_angle_gamma 90.00
_space_group_name_H-M_alt 'P 1'
_space_group_IT_number 1
loop_
_space_group_symop_operation_xyz
'x,y,z'
loop_
_atom_site_label
_atom_site_type_symbol
_atom_site_fract_x
_atom_site_fract_y
_atom_site_fract_z
Ge1 Ge 0.0000 0.0000 0.0000
Au1 Au 0.5000 0.5000 0.5000
Hg1 Hg 0.0000 0.5000 0.0000
Hg2 Hg 0.0000 0.0000 0.5000
Hg3 Hg 0.5000 0.0000 0.0000
```

# 6
## HgGeAu3 (PBE-GGA)

Data for a geometry-optimized HgGeAu3 structure.

Summary:
- crystal system = cubic
- DFT formation energy (eV per atom) = 0.305
- offset from the most stable computed form (eV/atom) = 0.249
- total DFT energy (no corrections) (eV/f.u.) = -13.23
- total magnetization (μB/f.u.) = 0.00

The structure in CIF format:
```
data_HgGeAu3
_chemical_formula_sum 'Hg1 Ge1 Au3'
_cell_length_a 4.9536
_cell_length_b 4.9536
_cell_length_c 4.9536
_cell_angle_alpha 90.00
_cell_angle_beta 90.00
_cell_angle_gamma 90.00
_space_group_name_H-M_alt 'P 1'
_space_group_IT_number 1
loop_
_space_group_symop_operation_xyz
'x,y,z'
loop_
_atom_site_label
_atom_site_type_symbol
_atom_site_fract_x
_atom_site_fract_y
_atom_site_fract_z
Ge1 Ge 0.0000 0.0000 0.0000
Au1 Au 0.0000 0.5000 0.0000
Au2 Au 0.0000 0.0000 0.5000
Au3 Au 0.5000 0.0000 0.0000
Hg1 Hg 0.5000 0.5000 0.5000
```

# 7
## HgGeAu (PBE-GGA)

Data for a geometry-optimized HgGeAu structure.

Summary:
- crystal system = triclinic
- DFT formation energy (eV per atom) = 0.112
- offset from the most stable computed form (eV/atom) = 0.012
- total DFT energy (no corrections) (eV/f.u.) = -7.86
- total magnetization (μB/f.u.) = 0.00

The structure in CIF format:
```
data_HgGeAu
_chemical_formula_sum 'Hg2 Ge2 Au2'
_cell_length_a 5.7431
_cell_length_b 3.0440
_cell_length_c 13.8120
_cell_angle_alpha 106.22
_cell_angle_beta 50.33
_cell_angle_gamma 115.58
_space_group_name_H-M_alt 'P 1'
_space_group_IT_number 1
loop_
_space_group_symop_operation_xyz
'x,y,z'
loop_
_atom_site_label
_atom_site_type_symbol
_atom_site_fract_x
_atom_site_fract_y
_atom_site_fract_z
Hg1 Hg 0.5281 0.1335 0.2990
Hg2 Hg 0.9268 0.1501 0.0294
Ge1 Ge 0.8568 0.1467 0.7431
Ge2 Ge 0.5966 0.1385 0.5853
Au1 Au 0.2751 0.6428 0.7963
Au2 Au 0.1782 0.6406 0.5321
```

# 8
## Hg2GeAu3 (PBE-GGA)

Data for a geometry-optimized Hg2GeAu3 structure.

Summary:
- crystal system = monoclinic
- DFT formation energy (eV per atom) = 0.075
- total DFT energy (no corrections) (eV/f.u.) = -14.60
- total magnetization (μB/f.u.) = 0.00

The structure in CIF format:
```
data_Hg2GeAu3
_chemical_formula_sum 'Hg4 Ge2 Au6'
_cell_length_a 4.8365
_cell_length_b 7.0891
_cell_length_c 9.4349
_cell_angle_alpha 90.01
_cell_angle_beta 117.06
_cell_angle_gamma 90.00
_space_group_name_H-M_alt 'P 1'
_space_group_IT_number 1
loop_
_space_group_symop_operation_xyz
'x,y,z'
loop_
_atom_site_label
_atom_site_type_symbol
_atom_site_fract_x
_atom_site_fract_y
_atom_site_fract_z
Hg1 Hg 0.1422 0.7501 0.4443
Hg2 Hg 0.8578 0.2499 0.5557
Hg3 Hg 0.1822 0.7499 0.0844
Hg4 Hg 0.8178 0.2501 0.9156
Ge1 Ge 0.4573 0.7501 0.7784
Ge2 Ge 0.5427 0.2499 0.2216
Au1 Au 0.2499 0.4525 0.8456
Au2 Au 0.7501 0.5475 0.1544
Au3 Au 0.2499 0.0477 0.8457
Au4 Au 0.7501 0.9523 0.1543
Au5 Au 0.8244 0.7501 0.6526
Au6 Au 0.1756 0.2499 0.3474
```

# 9
## HgGeAu3 (PBE-GGA)

Data for a geometry-optimized HgGeAu3 structure.

Summary:
- crystal system = monoclinic
- DFT formation energy (eV per atom) = 0.056
- offset from the most stable computed form (eV/atom) = 0.000
- total DFT energy (no corrections) (eV/f.u.) = -14.47
- total magnetization (μB/f.u.) = 0.00

The structure in CIF format:
```
data_HgGeAu3
_chemical_formula_sum 'Hg4 Ge4 Au12'
_cell_length_a 4.6787
_cell_length_b 7.1603
_cell_length_c 12.8848
_cell_angle_alpha 90.00
_cell_angle_beta 90.00
_cell_angle_gamma 89.95
_space_group_name_H-M_alt 'P 1'
_space_group_IT_number 1
loop_
_space_group_symop_operation_xyz
'x,y,z'
loop_
_atom_site_label
_atom_site_type_symbol
_atom_site_fract_x
_atom_site_fract_y
_atom_site_fract_z
Hg1 Hg 0.2698 0.7505 0.6715
Hg2 Hg 0.7698 0.7505 0.8285
Hg3 Hg 0.7302 0.2495 0.3285
Hg4 Hg 0.2302 0.2495 0.1715
Ge1 Ge 0.4612 0.7498 0.0990
Ge2 Ge 0.9612 0.7498 0.4010
Ge3 Ge 0.5388 0.2502 0.9010
Ge4 Ge 0.0388 0.2502 0.5990
Au1 Au 0.0205 0.2506 0.8111
Au2 Au 0.5205 0.2506 0.6889
Au3 Au 0.9795 0.7494 0.1889
Au4 Au 0.4795 0.7494 0.3111
Au5 Au 0.2464 0.9471 0.9345
Au6 Au 0.7462 0.5536 0.5654
Au7 Au 0.7538 0.4464 0.0654
Au8 Au 0.2536 0.0529 0.4345
Au9 Au 0.7536 0.0529 0.0655
Au10 Au 0.2538 0.4464 0.4346
Au11 Au 0.2462 0.5536 0.9346
Au12 Au 0.7464 0.9471 0.5655
```

# 10
## HgGeAu2 (PBE-GGA)

Data for a geometry-optimized HgGeAu2 structure.

Summary:
- crystal system = cubic
- DFT formation energy (eV per atom) = 0.160
- offset from the most stable computed form (eV/atom) = 0.148
- total DFT energy (no corrections) (eV/f.u.) = -10.83
- total magnetization (μB/f.u.) = 0.00

The structure in CIF format:
```
data_HgGeAu2
_chemical_formula_sum 'Hg1 Ge1 Au2'
_cell_length_a 4.8292
_cell_length_b 4.8292
_cell_length_c 4.8292
_cell_angle_alpha 60.00
_cell_angle_beta 60.00
_cell_angle_gamma 60.00
_space_group_name_H-M_alt 'P 1'
_space_group_IT_number 1
loop_
_space_group_symop_operation_xyz
'x,y,z'
loop_
_atom_site_label
_atom_site_type_symbol
_atom_site_fract_x
_atom_site_fract_y
_atom_site_fract_z
Ge1 Ge 0.0000 0.0000 0.0000
Au1 Au 0.2500 0.2500 0.2500
Au2 Au 0.7500 0.7500 0.7500
Hg1 Hg 0.5000 0.5000 0.5000
```

# 11
## HgGeAu4 (PBE-GGA)

Data for a geometry-optimized HgGeAu4 structure.

Summary:
- crystal system = cubic
- DFT formation energy (eV per atom) = 0.176
- offset from the most stable computed form (eV/atom) = 0.125
- total DFT energy (no corrections) (eV/f.u.) = -16.97
- total magnetization (μB/f.u.) = 0.00

The structure in CIF format:
```
data_HgGeAu4
_chemical_formula_sum 'Hg1 Ge1 Au4'
_cell_length_a 5.5746
_cell_length_b 5.5746
_cell_length_c 5.5746
_cell_angle_alpha 60.00
_cell_angle_beta 60.00
_cell_angle_gamma 60.00
_space_group_name_H-M_alt 'P 1'
_space_group_IT_number 1
loop_
_space_group_symop_operation_xyz
'x,y,z'
loop_
_atom_site_label
_atom_site_type_symbol
_atom_site_fract_x
_atom_site_fract_y
_atom_site_fract_z
Ge1 Ge 0.0000 0.0000 0.0000
Au1 Au 0.6249 0.6249 0.1252
Au2 Au 0.6249 0.1252 0.6249
Au3 Au 0.6249 0.6249 0.6249
Au4 Au 0.1252 0.6249 0.6249
Hg1 Hg 0.2500 0.2500 0.2500
```

# 12
## HgGeAu2 (PBE-GGA)

Data for a geometry-optimized HgGeAu2 structure.

Summary:
- crystal system = tetragonal
- DFT formation energy (eV per atom) = 0.124
- offset from the most stable computed form (eV/atom) = 0.112
- total DFT energy (no corrections) (eV/f.u.) = -10.98
- total magnetization (μB/f.u.) = 0.00

The structure in CIF format:
```
data_HgGeAu2
_chemical_formula_sum 'Hg2 Ge2 Au4'
_cell_length_a 7.7580
_cell_length_b 7.7580
_cell_length_c 6.1690
_cell_angle_alpha 51.04
_cell_angle_beta 51.04
_cell_angle_gamma 90.00
_space_group_name_H-M_alt 'P 1'
_space_group_IT_number 1
loop_
_space_group_symop_operation_xyz
'x,y,z'
loop_
_atom_site_label
_atom_site_type_symbol
_atom_site_fract_x
_atom_site_fract_y
_atom_site_fract_z
Ge1 Ge 0.5000 0.5000 0.0000
Ge2 Ge 0.2500 0.7500 0.5000
Au1 Au 0.5919 0.1250 0.2500
Au2 Au 0.1581 0.6250 0.2500
Au3 Au 0.3750 0.4081 0.7500
Au4 Au 0.8750 0.8419 0.7500
Hg1 Hg 0.0000 0.0000 0.0000
Hg2 Hg 0.7500 0.2500 0.5000
```

Q: Look up the total DFT energy (no corrections) of the second one.
A: -11.48 eV/f.u.

Q: Which value of total magnetization does entry 3 give?
A: 0.00 μB/f.u.

Q: Which of these has the highest total DFT energy (no corrections)?
A: Hg3GeAu